Record 1
Ba3Te2O9: optimized geometry, PBE-GGA.

## Properties
Formation energy without anion corrections ... -1937 meV per atom
Offset from the most stable computed form ... 0.0000 eV/atom
SG ... P6_3/mmc, No. 194
Magnetization ... 0.0 Bohr magnetons per cell

abc: 5.9533 5.9533 14.6203
angles: 90.00 90.00 120.00
With the nearest neighbours (Å) after each atom.
Fractional positions:
Ba (0.6667, 0.3333, 0.7500)  12 O 2.90-2.99
Ba (0.3333, 0.6667, 0.2500)  12 O 2.90-2.99
Ba (0.6667, 0.3333, 0.0597)  9 O 2.82-3.01
Ba (0.3333, 0.6667, 0.5597)  9 O 2.82-3.01
Ba (0.3333, 0.6667, 0.9403)  9 O 2.82-3.01
Ba (0.6667, 0.3333, 0.4403)  9 O 2.82-3.01
O (0.2861, 0.1430, 0.2500)  2 Te 2.08
O (0.8570, 0.1430, 0.2500)  2 Te 2.08
O (0.8570, 0.7139, 0.2500)  2 Te 2.08
O (0.7139, 0.8570, 0.7500)  2 Te 2.08
O (0.1430, 0.8570, 0.7500)  2 Te 2.08
O (0.1430, 0.2861, 0.7500)  2 Te 2.08
O (0.6725, 0.8362, 0.0919)  1 Te 1.89
O (0.1638, 0.8362, 0.0919)  1 Te 1.89
O (0.1638, 0.3275, 0.0919)  1 Te 1.89
O (0.3275, 0.1638, 0.5919)  1 Te 1.89
O (0.8362, 0.1638, 0.5919)  1 Te 1.89
O (0.8362, 0.6725, 0.5919)  1 Te 1.89
O (0.8362, 0.1638, 0.9081)  1 Te 1.89
O (0.3275, 0.1638, 0.9081)  1 Te 1.89
O (0.8362, 0.6725, 0.9081)  1 Te 1.89
O (0.1638, 0.8362, 0.4081)  1 Te 1.89
O (0.6725, 0.8362, 0.4081)  1 Te 1.89
O (0.1638, 0.3275, 0.4081)  1 Te 1.89
Te (0.0000, 0.0000, 0.1501)  6 O 1.89-2.08
Te (0.0000, 0.0000, 0.6501)  6 O 1.89-2.08
Te (0.0000, 0.0000, 0.8499)  6 O 1.89-2.08
Te (0.0000, 0.0000, 0.3499)  6 O 1.89-2.08



Record 2
La3YAs: optimized geometry, PBE-GGA.

## Properties
Offset from the most stable computed form ... 0.8941 eV/atom
SG ... Pm-3m, No. 221
Magnetization ... 0.0 Bohr magnetons per cell

abc: 5.6503 5.6503 5.6503
angles: 90.00 90.00 90.00
With the nearest neighbours (Å) after each atom.
Fractional positions:
Y (0.0000, 0.0000, 0.0000)  6 La 2.83
As (0.5000, 0.5000, 0.5000)  12 La 4.00
La (0.0000, 0.5000, 0.0000)  2 Y 2.83
La (0.0000, 0.0000, 0.5000)  2 Y 2.83
La (0.5000, 0.0000, 0.0000)  2 Y 2.83



What did the first record say?
Ba3Te2O9: optimized geometry, PBE-GGA.

## Properties
Formation energy without anion corrections ... -1937 meV per atom
Offset from the most stable computed form ... 0.0000 eV/atom
SG ... P6_3/mmc, No. 194
Magnetization ... 0.0 Bohr magnetons per cell

abc: 5.9533 5.9533 14.6203
angles: 90.00 90.00 120.00
With the nearest neighbours (Å) after each atom.
Fractional positions:
Ba (0.6667, 0.3333, 0.7500)  12 O 2.90-2.99
Ba (0.3333, 0.6667, 0.2500)  12 O 2.90-2.99
Ba (0.6667, 0.3333, 0.0597)  9 O 2.82-3.01
Ba (0.3333, 0.6667, 0.5597)  9 O 2.82-3.01
Ba (0.3333, 0.6667, 0.9403)  9 O 2.82-3.01
Ba (0.6667, 0.3333, 0.4403)  9 O 2.82-3.01
O (0.2861, 0.1430, 0.2500)  2 Te 2.08
O (0.8570, 0.1430, 0.2500)  2 Te 2.08
O (0.8570, 0.7139, 0.2500)  2 Te 2.08
O (0.7139, 0.8570, 0.7500)  2 Te 2.08
O (0.1430, 0.8570, 0.7500)  2 Te 2.08
O (0.1430, 0.2861, 0.7500)  2 Te 2.08
O (0.6725, 0.8362, 0.0919)  1 Te 1.89
O (0.1638, 0.8362, 0.0919)  1 Te 1.89
O (0.1638, 0.3275, 0.0919)  1 Te 1.89
O (0.3275, 0.1638, 0.5919)  1 Te 1.89
O (0.8362, 0.1638, 0.5919)  1 Te 1.89
O (0.8362, 0.6725, 0.5919)  1 Te 1.89
O (0.8362, 0.1638, 0.9081)  1 Te 1.89
O (0.3275, 0.1638, 0.9081)  1 Te 1.89
O (0.8362, 0.6725, 0.9081)  1 Te 1.89
O (0.1638, 0.8362, 0.4081)  1 Te 1.89
O (0.6725, 0.8362, 0.4081)  1 Te 1.89
O (0.1638, 0.3275, 0.4081)  1 Te 1.89
Te (0.0000, 0.0000, 0.1501)  6 O 1.89-2.08
Te (0.0000, 0.0000, 0.6501)  6 O 1.89-2.08
Te (0.0000, 0.0000, 0.8499)  6 O 1.89-2.08
Te (0.0000, 0.0000, 0.3499)  6 O 1.89-2.08



- Which value of offset from the most stable computed form does entry 2 give?
  0.8941 eV/atom